{
  "formula": "VS2N2",
  "functional": "PBE-GGA",
  "state": "optimized geometry",
  "lattice_angstrom": [[-2.838, -0.760, -0.041], [0.739, -2.713, -0.851], [-1.560, -6.840, 9.596]],
  "species": ["N", "N", "V", "S", "S"],
  "frac_coords": [[0.553, 0.553, 0.450], [0.447, 0.447, 0.550], [0.000, 0.000, 0.000], [0.636, 0.636, 0.872], [0.364, 0.364, 0.128]],
  "polymorph_energy_mev_per_atom": 0,
  "sg": "C2/m, No. 12"
}



{
  "formula": "VS2N2",
  "functional": "PBE-GGA",
  "state": "optimized geometry",
  "lattice_angstrom": [[-1.173, 1.804, -2.851], [2.466, -1.602, -2.028], [-2.914, -3.332, -0.910]],
  "species": ["S", "S", "N", "N", "V"],
  "frac_coords": [[0.000, 0.000, 0.000], [0.000, 0.000, 0.500], [0.500, 0.000, 0.000], [0.000, 0.500, 0.000], [0.500, 0.500, 0.500]],
  "polymorph_energy_mev_per_atom": 1525,
  "sg": "P4/mmm, No. 123"
}